## CuMo2Ir2 (PBE-GGA)

Data for crystalline CuMo2Ir2 at its relaxed geometry.

Computed properties:
- Formation energy from the elements: 1.065 kcal/mol of atoms
- Crystal system: tetragonal
- Theoretical density: 13.31 g cm⁻³
- E_tot: -86.499 eV/cell
- Symmetry: P4/mbm, No. 127

```
data_CuMo2Ir2
_chemical_formula_sum 'Cu2 Mo4 Ir4'
_cell_length_a 7.586
_cell_length_b 7.586
_cell_length_c 2.773
_cell_angle_alpha 90.00
_cell_angle_beta 90.00
_cell_angle_gamma 90.00
_space_group_name_H-M_alt 'P 1'
_space_group_IT_number 1
loop_
_space_group_symop_operation_xyz
'x,y,z'
loop_
_atom_site_label
_atom_site_type_symbol
_atom_site_fract_x
_atom_site_fract_y
_atom_site_fract_z
Cu1 Cu 0.000 0.000 0.000
Cu2 Cu 0.500 0.500 0.000
Mo1 Mo 0.168 0.332 0.500
Mo2 Mo 0.332 0.832 0.500
Mo3 Mo 0.668 0.168 0.500
Mo4 Mo 0.832 0.668 0.500
Ir1 Ir 0.127 0.627 0.000
Ir2 Ir 0.373 0.127 0.000
Ir3 Ir 0.627 0.873 0.000
Ir4 Ir 0.873 0.373 0.000
```